## 1
The following is a DFT calculation (PBE) of crystalline TiC2I at its relaxed geometry.

a b c (Å): 6.300 6.300 6.300
angles (deg): 131.69 131.69 70.72
Element x y z (fractional)
Ti: 0.000 0.000 0.000
Ti: 0.750 0.250 0.500
C: 0.061 0.625 0.936
C: 0.375 0.311 0.436
C: 0.689 0.125 0.064
C: 0.875 0.939 0.564
I: 0.250 0.750 0.500
I: 0.500 0.500 0.000

Properties
Crystal system: tetragonal
Calculated density (g/cm3): 4.83
Size of the total moment (μB per cell): 0.0
Density of states at the Fermi level (states/eV per cell): 6.44

---

## 2
The following is a DFT calculation (PBE) of crystalline TiC2I at its relaxed geometry.

a b c (Å): 4.179 4.179 4.179
angles (deg): 60.00 60.00 60.00
Element x y z (fractional)
Ti: 0.000 0.000 0.000
C: 0.250 0.250 0.250
C: 0.750 0.750 0.750
I: 0.500 0.500 0.500

Properties
Crystal system: cubic
Calculated density (g/cm3): 6.40
Size of the total moment (μB per cell): 0.0
Density of states at the Fermi level (states/eV per cell): 5.46

---

Verdict on stability: 2 comes out at the bottom.

---

## 1
The following is a DFT calculation (PBE) of crystalline TiC2I2 at its relaxed geometry.

a b c (Å): 6.478 6.478 4.607
angles (deg): 90.00 90.00 90.00
Element x y z (fractional)
Ti: 0.000 0.000 0.000
Ti: 0.500 0.500 0.000
C: 0.244 0.256 0.000
C: 0.256 0.756 0.000
C: 0.744 0.244 0.000
C: 0.756 0.744 0.000
I: 0.190 0.310 0.500
I: 0.310 0.810 0.500
I: 0.690 0.190 0.500
I: 0.810 0.690 0.500

Properties
Crystal system: tetragonal
Calculated density (g/cm3): 5.59
Size of the total moment (μB per cell): 0.0
Density of states at the Fermi level (states/eV per cell): 5.47

---

## 2
The following is a DFT calculation (PBE) of crystalline TiC2I2 at its relaxed geometry.

a b c (Å): 5.486 5.486 5.486
angles (deg): 105.66 105.66 117.39
Element x y z (fractional)
Ti: 0.000 0.000 0.000
C: 0.388 0.388 0.000
C: 0.612 0.612 0.000
I: 0.250 0.750 0.500
I: 0.750 0.250 0.500

Properties
Crystal system: tetragonal
Calculated density (g/cm3): 4.32
Size of the total moment (μB per cell): 1.3
Density of states at the Fermi level (states/eV per cell): 2.82

---

Verdict on stability: 1 comes out at the bottom.

---

## 1
The following is a DFT calculation (PBE) of crystalline TiC3I at its relaxed geometry.

a b c (Å): 4.210 4.210 4.210
angles (deg): 90.00 90.00 90.00
Element x y z (fractional)
Ti: 0.000 0.000 0.000
C: 0.000 0.000 0.500
C: 0.000 0.500 0.000
C: 0.500 0.000 0.000
I: 0.500 0.500 0.500

Properties
Crystal system: cubic
Calculated density (g/cm3): 4.69
Size of the total moment (μB per cell): 0.0
Density of states at the Fermi level (states/eV per cell): 4.24

---

## 2
The following is a DFT calculation (PBE) of crystalline TiC3I at its relaxed geometry.

a b c (Å): 4.073 4.073 4.073
angles (deg): 90.00 90.00 90.00
Element x y z (fractional)
Ti: 0.000 0.000 0.000
C: 0.000 0.500 0.500
C: 0.500 0.000 0.500
C: 0.500 0.500 0.000
I: 0.500 0.500 0.500

Properties
Crystal system: cubic
Calculated density (g/cm3): 5.18
Size of the total moment (μB per cell): 0.0
Density of states at the Fermi level (states/eV per cell): 3.15

---

Verdict on stability: 2 comes out at the bottom.